Entry one
Density functional theory data (PBE) for an optimized crystal structure of Ac2GeO5.

Output
magnetic moment: 0.0 μB/cell

a = 8.677 Å, b = 8.677 Å, c = 8.677 Å
α = 135.50°, β = 135.50°, γ = 64.76°
Sites, in units of the cell vectors:
Ac: 0.000 0.000 0.000
Ac: 0.000 0.000 0.500
Ac: 0.000 0.500 0.000
Ac: 0.500 0.000 0.500
Ge: 0.375 0.625 0.750
Ge: 0.625 0.375 0.250
O: 0.125 0.875 0.250
O: 0.205 0.690 0.516
O: 0.310 0.326 0.516
O: 0.310 0.795 0.984
O: 0.326 0.310 0.016
O: 0.674 0.690 0.984
O: 0.690 0.205 0.016
O: 0.690 0.674 0.484
O: 0.795 0.310 0.484
O: 0.875 0.125 0.750


Entry two
Density functional theory data (PBE) for an optimized crystal structure of Ac2GeO5.

Output
magnetic moment: 0.0 μB/cell

a = 5.830 Å, b = 5.830 Å, c = 7.755 Å
α = 90.00°, β = 90.00°, γ = 90.00°
Sites, in units of the cell vectors:
Ac: 0.000 0.500 0.000
Ac: 0.000 0.500 0.500
Ac: 0.500 0.000 0.000
Ac: 0.500 0.000 0.500
Ge: 0.000 0.000 0.240
Ge: 0.500 0.500 0.740
O: 0.000 0.000 0.466
O: 0.222 0.222 0.183
O: 0.222 0.778 0.183
O: 0.278 0.278 0.683
O: 0.278 0.722 0.683
O: 0.500 0.500 0.966
O: 0.722 0.278 0.683
O: 0.722 0.722 0.683
O: 0.778 0.222 0.183
O: 0.778 0.778 0.183


Structures ranked by computed energy, the most stable listed first: entry one, entry two.


Entry one
Density functional theory data (PBE) for an optimized crystal structure of AcGeOs.

Output
magnetic moment: 0.0 μB/cell

a = 4.312 Å, b = 4.312 Å, c = 4.544 Å
α = 90.00°, β = 90.00°, γ = 120.00°
Sites, in units of the cell vectors:
Ac: 0.000 0.000 0.000
Ge: 0.333 0.667 0.500
Os: 0.667 0.333 0.500


Entry two
Density functional theory data (PBE) for an optimized crystal structure of AcGeOs.

Output
magnetic moment: 0.0 μB/cell

a = 10.908 Å, b = 10.908 Å, c = 10.908 Å
α = 22.94°, β = 22.94°, γ = 22.94°
Sites, in units of the cell vectors:
Ac: 0.102 0.102 0.102
Ac: 0.898 0.898 0.898
Ge: 0.297 0.297 0.297
Ge: 0.703 0.703 0.703
Os: 0.377 0.377 0.377
Os: 0.623 0.623 0.623


Structures ranked by computed energy, the most stable listed first: entry one, entry two.


Entry one
Density functional theory data (PBE) for an optimized crystal structure of Ac3Ge3Os.

Output
magnetic moment: 0.0 μB/cell

a = 6.370 Å, b = 6.370 Å, c = 15.108 Å
α = 108.41°, β = 108.41°, γ = 41.22°
Sites, in units of the cell vectors:
Ac: 0.028 0.028 0.387
Ac: 0.107 0.107 0.919
Ac: 0.245 0.245 0.235
Ac: 0.755 0.755 0.765
Ac: 0.893 0.893 0.081
Ac: 0.972 0.972 0.613
Ge: 0.326 0.326 0.460
Ge: 0.399 0.399 0.927
Ge: 0.454 0.454 0.762
Ge: 0.546 0.546 0.238
Ge: 0.601 0.601 0.073
Ge: 0.674 0.674 0.540
Os: 0.261 0.261 0.615
Os: 0.739 0.739 0.385


Entry two
Density functional theory data (PBE) for an optimized crystal structure of Ac3Ge3Os.

Output
magnetic moment: 0.0 μB/cell

a = 6.962 Å, b = 6.216 Å, c = 9.372 Å
α = 90.00°, β = 98.57°, γ = 90.00°
Sites, in units of the cell vectors:
Ac: 0.122 0.250 0.306
Ac: 0.264 0.250 0.936
Ac: 0.362 0.750 0.629
Ac: 0.638 0.250 0.371
Ac: 0.736 0.750 0.064
Ac: 0.878 0.750 0.694
Ge: 0.001 0.250 0.628
Ge: 0.218 0.750 0.982
Ge: 0.396 0.250 0.623
Ge: 0.604 0.750 0.377
Ge: 0.782 0.250 0.018
Ge: 0.999 0.750 0.372
Os: 0.281 0.750 0.242
Os: 0.719 0.250 0.758


Structures ranked by computed energy, the most stable listed first: entry one, entry two.